[1]
A relaxed structure of Zr2CdN. Source: the Open Quantum Materials Database, functional PBE-GGA.

```
24
Lattice="4.980 -2.875 0.000 4.980 2.875 0.000 -3.322 0.000 14.829" Properties=species:S:1:pos:R:3 pbc="T T T"
Zr 2.490 2.396 8.631
Zr 2.487 2.396 13.613
Zr 2.490 0.478 1.212
Zr 2.489 0.480 6.203
Zr 0.829 -0.478 8.626
Zr 0.828 -0.480 13.618
Zr 5.810 0.480 1.212
Zr 5.809 0.478 6.203
Zr 4.149 -0.480 8.626
Zr 4.148 -0.478 13.618
Zr 4.151 -2.396 1.216
Zr 4.148 -2.396 6.198
Cd -0.823 0.485 11.123
Cd 0.838 -0.485 3.708
Cd 2.489 0.470 11.122
Cd 4.150 -0.470 3.707
Cd 5.800 0.485 11.121
Cd 7.461 -0.485 3.706
N 0.829 1.437 7.415
N 4.150 1.438 0.000
N 4.149 1.438 7.415
N 2.490 -1.437 0.000
N 2.489 -1.438 7.415
N 5.810 -1.438 0.000
```

[2]
A relaxed structure of Tl2NiH6Ir. Source: the Open Quantum Materials Database, functional PBE-GGA.

```
10
Lattice="0.000 3.733 3.733 3.733 0.000 3.733 3.733 3.733 0.000" Properties=species:S:1:pos:R:3 pbc="T T T"
Tl 1.867 1.867 1.867
Tl 5.600 5.600 5.600
Ni 0.000 0.000 0.000
H 3.733 3.733 1.934
H 3.733 1.934 3.733
H 5.532 3.733 3.733
H 1.934 3.733 3.733
H 3.733 5.532 3.733
H 3.733 3.733 5.532
Ir 3.733 3.733 3.733
```

[3]
A relaxed structure of NdSbTe3Pb. Source: the Open Quantum Materials Database, functional PBE-GGA.

```
12
Lattice="2.107 -8.132 0.000 2.107 8.132 0.000 0.000 0.000 10.924" Properties=species:S:1:pos:R:3 pbc="T T T"
Nd 0.000 0.000 0.000
Nd 0.000 0.000 5.462
Sb 2.107 0.238 8.193
Sb 2.107 -0.238 2.731
Te 2.107 6.154 8.193
Te 2.107 2.494 5.822
Te 2.107 2.494 10.564
Te 2.107 -2.494 0.360
Te 2.107 -2.494 5.102
Te 2.107 -6.154 2.731
Pb 2.107 4.708 2.731
Pb 2.107 -4.708 8.193
```

[4]
A relaxed structure of CoSbIrW. Source: the Open Quantum Materials Database, functional PBE-GGA.

Computed properties:
The relative energy among the computed polymorphs comes out at 132 meV per atom.

```
4
Lattice="0.000 3.158 3.158 3.158 0.000 3.158 3.158 3.158 0.000" Properties=species:S:1:pos:R:3 pbc="T T T"
Co 0.000 0.000 0.000
Sb 4.737 4.737 4.737
Ir 3.158 3.158 3.158
W 1.579 1.579 1.579
```

[5]
A relaxed structure of La2NdCu2Ge4Ir2. Source: the Open Quantum Materials Database, functional PBE-GGA.

```
11
Lattice="-2.107 2.121 12.522 2.107 -2.121 12.522 2.107 2.121 -12.522" Properties=species:S:1:pos:R:3 pbc="T T T"
La 0.000 0.000 3.741
La 0.000 0.000 21.303
Nd 0.000 2.121 0.000
Cu 0.000 0.000 10.112
Cu 0.000 0.000 14.932
Ge 2.107 0.000 1.275
Ge 0.000 0.000 7.644
Ge 0.000 0.000 17.400
Ge 0.000 2.121 11.246
Ir 2.107 0.000 6.274
Ir 0.000 2.121 6.248
```

[6]
A relaxed structure of SnPd7. Source: the Open Quantum Materials Database, functional PBE-GGA.

```
16
Lattice="2.819 0.000 0.000 0.000 3.908 0.000 0.000 0.000 34.975" Properties=species:S:1:pos:R:3 pbc="T T T"
Sn 0.705 0.977 7.066
Sn 2.114 2.931 27.909
Pd 0.705 0.977 9.896
Pd 0.705 0.977 12.675
Pd 0.705 0.977 15.433
Pd 0.705 0.977 18.173
Pd 0.705 0.977 20.923
Pd 0.705 0.977 23.692
Pd 0.705 0.977 26.520
Pd 2.114 2.931 8.455
Pd 2.114 2.931 11.283
Pd 2.114 2.931 14.052
Pd 2.114 2.931 16.802
Pd 2.114 2.931 19.542
Pd 2.114 2.931 22.300
Pd 2.114 2.931 25.079
```

[7]
A relaxed structure of SrCdSO. Source: the Open Quantum Materials Database, functional PBE-GGA.

```
8
Lattice="4.291 0.000 0.000 0.000 4.291 0.000 0.000 0.000 9.088" Properties=species:S:1:pos:R:3 pbc="T T T"
Sr 1.073 1.073 1.684
Sr 3.218 3.218 7.404
Cd 1.073 1.073 5.273
Cd 3.218 3.218 3.814
S 1.073 1.073 7.821
S 3.218 3.218 1.266
O 1.073 3.218 4.544
O 3.218 1.073 4.544
```

[8]
A relaxed structure of Cd2Mo2As3P. Source: the Open Quantum Materials Database, functional PBE-GGA.

```
8
Lattice="6.389 -2.974 0.000 6.389 2.974 0.000 -2.693 0.000 5.334" Properties=species:S:1:pos:R:3 pbc="T T T"
Cd 0.563 0.000 1.922
Cd 9.523 0.000 3.412
Mo 4.505 -0.096 0.656
Mo 5.581 -0.096 4.678
As 1.065 1.391 4.211
As 5.043 1.173 2.667
As 9.021 1.391 1.123
P 6.389 -1.282 0.000
```

| no. | energy (eV/atom) |
| --- | --- |
| 1 | -7.532 |
| 2 | -3.683 |
| 3 | -4.193 |
| 4 | -7.770 |
| 5 | -6.029 |
| 6 | -5.084 |
| 7 | -4.402 |
| 8 | -5.120 |